A geometry-optimized Pm8AsSe4S3 structure, computed with PBE-GGA.

Calculated values
E_tot: -6.203 eV per atom
Mass density: 6.78 g cm⁻³
N(E_F): 16.78 states/eV/cell

```
data_Pm8AsSe4S3
_space_group_name_H-M_alt 'R -3 m'
_space_group_IT_number 166
_space_group_name_Hall '-R 3 2"'
_cell_length_a 8.2494
_cell_length_b 8.2494
_cell_length_c 20.5380
_cell_angle_alpha 90.00
_cell_angle_beta 90.00
_cell_angle_gamma 120.00
loop_
_atom_site_label
_atom_site_type_symbol
_atom_site_fract_x
_atom_site_fract_y
_atom_site_fract_z
_atom_site_occupancy
Pm1 Pm 0.0000 0.0000 0.2417 1
Pm2 Pm 0.0056 0.5028 0.7567 1
As1 As 0.0000 0.0000 0.5000 1
Se1 Se 0.0000 0.0000 0.0000 1
Se2 Se 0.0000 0.5000 0.0000 1
S1 S 0.0000 0.5000 0.5000 1
```